An optimized crystal structure of BeRe3, computed with GGA-PBE.

extended XYZ file:
```
8
Lattice="5.3335 0.0000 0.0000 -2.6668 4.6190 0.0000 0.0000 0.0000 4.4531" Properties=species:S:1:pos:R:3 pbc="T T T"
Be 0.0000 3.0793 1.1133
Be 2.6668 1.5397 3.3398
Re 0.0000 1.5872 3.3398
Re -1.2922 3.8253 3.3398
Re 1.3746 0.7936 1.1133
Re 1.2922 3.8253 3.3398
Re 3.9589 0.7936 1.1133
Re 2.6668 3.0317 1.1133
```

Computed properties:
distance to the lowest polymorph of the same formula = 154.9 meV per atom
calculated formation energy = 0.093 eV/atom
total magnetization = 0.000 μB per atom

=====

An optimized crystal structure of Mg5ZnGa6, computed with GGA-PBE.

extended XYZ file:
```
12
Lattice="-2.1561 4.1050 6.3262 2.1561 -4.1050 6.3262 2.1561 4.1050 -6.3262" Properties=species:S:1:pos:R:3 pbc="T T T"
Mg 0.0000 0.0000 0.0000
Mg 2.1561 0.0000 2.1510
Mg 0.0000 0.0000 4.3503
Mg 0.0000 0.0000 8.3021
Mg 0.0000 4.1050 4.1752
Zn 0.0000 4.1050 0.0000
Ga 2.1561 -2.0541 4.2296
Ga 2.1561 2.0163 0.0000
Ga 0.0000 2.0508 2.0966
Ga 2.1561 2.0541 4.2296
Ga 0.0000 2.0886 6.3262
Ga 0.0000 6.1591 2.0966
```

Computed properties:
calculated formation energy = -0.115 eV/atom
total magnetization = 0.000 μB per atom

=====

An optimized crystal structure of AcNdY2Se6, computed with GGA-PBE.

extended XYZ file:
```
10
Lattice="3.7327 2.1550 6.5229 -3.7327 2.1550 6.5229 0.0000 -4.3101 6.5229" Properties=species:S:1:pos:R:3 pbc="T T T"
Ac 0.0000 0.0000 0.0000
Nd 0.0000 0.0000 9.6264
Y 0.0000 0.0000 5.6547
Y 0.0000 0.0000 15.5156
Se -2.1727 -0.2817 7.5523
Se -1.4701 -2.2840 10.8118
Se 1.3303 -1.7407 7.5523
Se -1.2430 2.4151 10.8118
Se 0.8424 2.0225 7.5523
Se 2.7130 -0.1311 10.8118
```

Computed properties:
formation energy without anion corrections = -182 kJ per mole of atoms
total magnetization = 0.000 μB per atom

=====

An optimized crystal structure of DyHfZr2, computed with GGA-PBE.

extended XYZ file:
```
4
Lattice="1.6271 0.9394 10.7025 -1.6271 0.9394 10.7025 0.0000 -1.8788 10.7025" Properties=species:S:1:pos:R:3 pbc="T T T"
Dy 0.0000 0.0000 0.0000
Hf 0.0000 0.0000 16.0538
Zr 0.0000 0.0000 7.8825
Zr 0.0000 0.0000 24.2250
```

Computed properties:
distance to the lowest polymorph of the same formula = 12.6 meV per atom
calculated formation energy = 0.101 eV/atom
total magnetization = 0.000 μB per atom

=====

An optimized crystal structure of K2LiP, computed with GGA-PBE.

extended XYZ file:
```
8
Lattice="-2.3472 2.3472 10.8320 2.3472 -2.3472 10.8320 2.3472 2.3472 -10.8320" Properties=species:S:1:pos:R:3 pbc="T T T"
K 3.5208 1.1393 -2.7080
K 1.1393 1.1736 2.7080
K -1.1736 1.2080 8.1240
K 1.2080 1.1736 13.5399
Li 2.3472 0.0000 5.4160
Li 0.0000 0.0000 10.8320
P 0.0000 0.0000 0.0000
P 0.0000 2.3472 5.4160
```

Computed properties:
calculated formation energy = 0.181 eV/atom
total magnetization = 0.000 μB per atom

=====

An optimized crystal structure of TbNd4Dy5, computed with GGA-PBE.

extended XYZ file:
```
10
Lattice="8.6229 -1.7720 0.0000 8.6229 1.7720 0.0000 -0.0065 0.0000 11.2621" Properties=species:S:1:pos:R:3 pbc="T T T"
Tb 0.0000 0.0000 0.0000
Nd 2.6976 0.0000 2.8140
Nd 8.0808 0.0000 2.8186
Nd 9.1586 0.0000 8.4434
Nd 14.5418 0.0000 8.4481
Dy -0.0032 0.0000 5.6310
Dy 5.6285 0.0000 0.5766
Dy 5.6303 0.0000 5.0636
Dy 11.6091 0.0000 6.1985
Dy 11.6109 0.0000 10.6855
```

Computed properties:
distance to the lowest polymorph of the same formula = 0.0 meV per atom
calculated formation energy = 0.187 eV/atom
total magnetization = 0.000 μB per atom

=====

An optimized crystal structure of Cs3CuAg2Cl6, computed with GGA-PBE.

extended XYZ file:
```
12
Lattice="7.7542 0.0000 0.0000 -3.8771 6.7153 0.0000 0.0000 0.0000 8.7206" Properties=species:S:1:pos:R:3 pbc="T T T"
Cs 0.0000 0.0000 0.0000
Cs 0.0000 4.4769 5.7219
Cs 3.8771 2.2384 2.9987
Cu 0.0000 0.0000 4.3603
Ag 0.0000 4.4769 2.2386
Ag 3.8771 2.2384 6.4820
Cl 0.0000 2.0362 2.7544
Cl -2.1137 5.6972 2.7544
Cl 1.7634 1.0181 5.9662
Cl 2.1137 5.6972 2.7544
Cl 5.9908 1.0181 5.9662
Cl 3.8771 4.6791 5.9662
```

Computed properties:
formation energy without anion corrections = -106 kJ per mole of atoms
total magnetization = 0.005 μB per atom

=====

An optimized crystal structure of Ca2Mg12AlAg3, computed with GGA-PBE.

extended XYZ file:
```
18
Lattice="5.0831 2.9347 4.8842 -5.0831 2.9347 4.8842 0.0000 -5.8695 4.8842" Properties=species:S:1:pos:R:3 pbc="T T T"
Ca 0.0000 0.0000 1.7469
Ca 0.0000 0.0000 12.9059
Mg 0.0000 -2.5574 3.9681
Mg -2.2148 1.2787 3.9681
Mg -2.4315 -1.4038 7.7264
Mg 0.0000 -2.8076 6.9263
Mg -2.4315 1.4038 6.9263
Mg -2.2148 -1.2787 10.6846
Mg 2.2148 1.2787 3.9681
Mg 2.4315 -1.4038 7.7264
Mg 0.0000 2.8076 7.7264
Mg 2.4315 1.4038 6.9263
Mg 2.2148 -1.2787 10.6846
Mg 0.0000 2.5574 10.6846
Al 0.0000 0.0000 7.3264
Ag -2.5416 -1.4674 4.8842
Ag -2.5416 1.4674 9.7685
Ag 0.0000 2.9347 4.8842
```

Computed properties:
calculated formation energy = 0.085 eV/atom
total magnetization = 0.000 μB per atom